(1)
The following is a PBE-GGA calculation of a relaxed structure of BeTlZnCl2, from Alexandria via LeMat-Bulk.

formation energy without anion corrections	-1.18	eV/f.u.

Cell lengths 4.325, 6.355, 4.325 Å; angles 90.00, 90.00, 90.00 degrees
Positions (direct):
Zn  0.500  0.500  0.500
Tl  0.000  0.500  0.000
Cl  0.000  0.000  0.500
Be  0.000  0.000  0.000
Cl  0.500  0.000  0.000

---

(2)
The following is a PBE-GGA calculation of a relaxed structure of UBe2Cl8, from Alexandria via LeMat-Bulk.

formation energy without anion corrections	-16.11	eV/f.u.

Cell lengths 6.162, 7.571, 7.571 Å; angles 68.12, 84.25, 84.25 degrees
Each line ends with the local moment (μB).
Positions (direct):
U  0.000  0.000  0.000  2.07
Cl  0.763  0.702  0.088  -0.02
Cl  0.247  0.340  0.340  0.00
Cl  0.753  0.660  0.660  0.00
Be  0.340  0.191  0.191  0.00
Cl  0.763  0.088  0.702  -0.02
Cl  0.237  0.298  0.912  -0.02
Cl  0.688  0.164  0.164  -0.02
Cl  0.312  0.836  0.836  -0.02
Be  0.660  0.809  0.809  0.00
Cl  0.237  0.912  0.298  -0.02

---

(3)
The following is a PBE-GGA calculation of a relaxed structure of BeVCl3, from Alexandria via LeMat-Bulk.

ΔE to the lowest computed polymorph	0.0	kJ per mole of atoms
formation energy without anion corrections	-1.25	eV/f.u.

Cell lengths 4.506, 4.506, 4.506 Å; angles 90.00, 90.00, 90.00 degrees
Each line ends with the local moment (μB).
Positions (direct):
Cl  0.000  0.500  0.000  -0.01
Cl  0.500  0.000  0.000  -0.01
V  0.500  0.500  0.500  3.22
Be  0.000  0.000  0.000  0.02
Cl  0.000  0.000  0.500  -0.01

---

(4)
The following is a PBE-GGA calculation of a relaxed structure of BeVCl3, from Alexandria via LeMat-Bulk.

ΔE to the lowest computed polymorph	6.4	kJ per mole of atoms
formation energy without anion corrections	-0.92	eV/f.u.

Cell lengths 4.837, 4.837, 4.837 Å; angles 90.00, 90.00, 90.00 degrees
Each line ends with the local moment (μB).
Positions (direct):
V  0.000  0.000  0.000  2.31
Be  0.500  0.500  0.500  -0.21
Cl  0.000  0.000  0.500  -0.04
Cl  0.500  0.000  0.000  -0.04
Cl  0.000  0.500  0.000  -0.04

---

(5)
The following is a PBE-GGA calculation of a relaxed structure of YBeVCl2, from Alexandria via LeMat-Bulk.

formation energy without anion corrections	1.14	eV/f.u.

Cell lengths 4.482, 5.987, 4.482 Å; angles 90.00, 90.00, 90.00 degrees
Positions (direct):
V  0.000  0.000  0.000
Be  0.500  0.500  0.500
Cl  0.500  0.000  0.000
Cl  0.000  0.000  0.500
Y  0.000  0.500  0.000

---

(6)
The following is a PBE-GGA calculation of a relaxed structure of BeWCl3, from Alexandria via LeMat-Bulk.

ΔE to the lowest computed polymorph	0.0	kJ per mole of atoms
formation energy without anion corrections	2.64	eV/f.u.

Cell lengths 4.874, 4.874, 4.874 Å; angles 90.00, 90.00, 90.00 degrees
Each line ends with the local moment (μB).
Positions (direct):
Be  0.500  0.500  0.500  -0.06
Cl  0.000  0.000  0.500  0.00
Cl  0.000  0.500  0.000  0.02
W  0.000  0.000  0.000  1.59
Cl  0.500  0.000  0.000  0.08

---

(7)
The following is a PBE-GGA calculation of a relaxed structure of Be2W2Cl, from Alexandria via LeMat-Bulk.

ΔE to the lowest computed polymorph	0.0	kJ per mole of atoms
formation energy without anion corrections	3.34	eV/f.u.

Cell lengths 6.761, 6.761, 3.144 Å; angles 90.00, 90.00, 90.00 degrees
Positions (direct):
Be  0.162  0.662  0.500
Cl  0.000  0.000  0.000
W  0.625  0.125  0.000
W  0.375  0.875  0.000
W  0.875  0.625  0.000
Be  0.838  0.338  0.500
W  0.125  0.375  0.000
Cl  0.500  0.500  0.000
Be  0.662  0.838  0.500
Be  0.338  0.162  0.500

---

(8)
The following is a PBE-GGA calculation of a relaxed structure of BeWCl3, from Alexandria via LeMat-Bulk.

ΔE to the lowest computed polymorph	4.4	kJ per mole of atoms
formation energy without anion corrections	2.86	eV/f.u.

Cell lengths 4.546, 4.546, 4.546 Å; angles 90.00, 90.00, 90.00 degrees
Each line ends with the local moment (μB).
Positions (direct):
Cl  0.000  0.000  0.500  0.03
Cl  0.500  0.000  0.000  0.02
Be  0.000  0.000  0.000  0.02
Cl  0.000  0.500  0.000  0.03
W  0.500  0.500  0.500  3.50

---

Repeat the sixth record exactly.
The following is a PBE-GGA calculation of a relaxed structure of BeWCl3, from Alexandria via LeMat-Bulk.

ΔE to the lowest computed polymorph	0.0	kJ per mole of atoms
formation energy without anion corrections	2.64	eV/f.u.

Cell lengths 4.874, 4.874, 4.874 Å; angles 90.00, 90.00, 90.00 degrees
Each line ends with the local moment (μB).
Positions (direct):
Be  0.500  0.500  0.500  -0.06
Cl  0.000  0.000  0.500  0.00
Cl  0.000  0.500  0.000  0.02
W  0.000  0.000  0.000  1.59
Cl  0.500  0.000  0.000  0.08